Below is a relaxed Mo2Pb2I2O5 crystal, with properties calculated at the GGA+U level.

Output
Energy: -5.648 eV per atom
Calculated density: 6.30 g/cm3
Space group: I4/mmm (139)

The structure in POSCAR format:
```
Mo2Pb2I2O5
1.0
4.115 0.000 0.000
0.000 4.115 0.000
-2.058 -2.058 14.635
Mo Pb I O
2 2 2 5
Direct
0.064 0.064 0.128 Mo
0.936 0.936 0.872 Mo
0.369 0.369 0.738 Pb
0.631 0.631 0.262 Pb
0.187 0.187 0.373 I
0.813 0.813 0.627 I
0.000 0.000 0.000 O
0.579 0.079 0.158 O
0.921 0.421 0.842 O
0.079 0.579 0.158 O
0.421 0.921 0.842 O
```